Here is a relaxed structure of NaPm2Sm3S6 from the Alexandria database. Energies are from GGA-PBE.

Unit cell a=6.964 b=6.964 c=6.976 alpha=99.61 beta=99.61 gamma=120.10
Atoms (fractional coordinates):
Na: 0.000 0.000 0.000
Pm: 0.334 0.666 0.000
Pm: 0.666 0.334 0.000
Sm: 0.164 0.836 0.500
Sm: 0.836 0.164 0.500
Sm: 0.500 0.500 0.500
S: 0.916 0.584 0.747
S: 0.752 0.752 0.248
S: 0.084 0.416 0.253
S: 0.584 0.916 0.747
S: 0.248 0.248 0.752
S: 0.416 0.084 0.253

## Properties
* N(E_F): 0.418 states/eV per atom

=====

Here is a relaxed structure of Na3Pm2SmS6 from the Alexandria database. Energies are from GGA-PBE.

Unit cell a=7.090 b=7.090 c=7.093 alpha=99.59 beta=99.59 gamma=119.99
Atoms (fractional coordinates):
Na: 0.167 0.833 0.500
Na: 0.833 0.167 0.500
Na: 0.500 0.500 0.500
Pm: 0.333 0.667 0.000
Pm: 0.667 0.333 0.000
Sm: 0.000 0.000 0.000
S: 0.923 0.591 0.768
S: 0.745 0.745 0.231
S: 0.077 0.409 0.232
S: 0.591 0.923 0.768
S: 0.255 0.255 0.769
S: 0.409 0.077 0.232

## Properties
* N(E_F): 0.000 states/eV per atom

=====

Here is a relaxed structure of NaPm4Sm3S8 from the Alexandria database. Energies are from GGA-PBE.

Unit cell a=8.047 b=8.050 c=8.047 alpha=119.99 beta=120.00 gamma=90.00
Atoms (fractional coordinates):
Na: 0.000 0.500 0.000
Pm: 0.500 0.000 0.000
Pm: 0.500 0.000 0.500
Pm: 0.000 0.000 0.000
Pm: 0.000 0.000 0.500
Sm: 0.500 0.500 0.000
Sm: 0.500 0.500 0.500
Sm: 0.000 0.500 0.500
S: 0.248 0.747 0.999
S: 0.248 0.747 0.497
S: 0.251 0.252 0.502
S: 0.750 0.747 0.999
S: 0.250 0.253 0.001
S: 0.749 0.748 0.498
S: 0.752 0.253 0.503
S: 0.752 0.253 0.001

## Properties
* N(E_F): 0.546 states/eV per atom

=====

Here is a relaxed structure of NaPmSm4S8 from the Alexandria database. Energies are from GGA-PBE.

Unit cell a=8.278 b=8.278 c=8.292 alpha=60.05 beta=60.05 gamma=60.00
Atoms (fractional coordinates):
Na: 0.375 0.375 0.876
Pm: 0.004 0.004 0.988
Sm: 0.625 0.625 0.125
Sm: 0.004 0.488 0.504
Sm: 0.488 0.004 0.504
Sm: 0.004 0.004 0.504
S: 0.240 0.782 0.738
S: 0.782 0.240 0.738
S: 0.240 0.240 0.738
S: 0.239 0.239 0.283
S: 0.757 0.226 0.259
S: 0.226 0.757 0.259
S: 0.757 0.757 0.259
S: 0.758 0.758 0.726

## Properties
* N(E_F): 0.000 states/eV per atom

=====

Here is a relaxed structure of Na2PmSmS4 from the Alexandria database. Energies are from GGA-PBE.

Unit cell a=4.090 b=7.083 c=7.093 alpha=109.42 beta=90.00 gamma=90.00
Atoms (fractional coordinates):
Na: 0.500 0.000 0.500
Na: 0.000 0.500 0.500
Pm: 0.500 0.500 0.000
Sm: 0.000 0.000 0.000
S: 0.500 0.242 0.231
S: 0.500 0.758 0.769
S: 0.000 0.255 0.768
S: 0.000 0.745 0.232

## Properties
* N(E_F): 0.000 states/eV per atom

=====

Here is a relaxed structure of Na3PmSm2S6 from the Alexandria database. Energies are from GGA-PBE.

Unit cell a=7.077 b=7.077 c=7.091 alpha=99.58 beta=99.58 gamma=119.99
Atoms (fractional coordinates):
Na: 0.167 0.833 0.500
Na: 0.833 0.167 0.500
Na: 0.500 0.500 0.500
Pm: 0.000 0.000 0.000
Sm: 0.333 0.667 0.000
Sm: 0.667 0.333 0.000
S: 0.923 0.588 0.769
S: 0.743 0.743 0.231
S: 0.077 0.412 0.231
S: 0.588 0.923 0.769
S: 0.257 0.257 0.769
S: 0.412 0.077 0.231

## Properties
* N(E_F): 0.000 states/eV per atom

=====

Here is a relaxed structure of NaPm3Sm2S6 from the Alexandria database. Energies are from GGA-PBE.

Unit cell a=4.019 b=8.068 c=9.008 alpha=102.82 beta=102.89 gamma=90.00
Atoms (fractional coordinates):
Na: 0.500 0.000 0.000
Pm: 0.500 0.500 0.000
Pm: 0.836 0.172 0.673
Pm: 0.164 0.828 0.327
Sm: 0.832 0.661 0.665
Sm: 0.168 0.339 0.335
S: 0.332 0.916 0.665
S: 0.666 0.583 0.332
S: 0.668 0.084 0.335
S: 0.002 0.251 0.004
S: 0.998 0.749 0.996
S: 0.334 0.417 0.668

## Properties
* N(E_F): 0.320 states/eV per atom

=====

Here is a relaxed structure of Na2PmSnS4 from the Alexandria database. Energies are from GGA-PBE.

Unit cell a=4.009 b=7.016 c=7.093 alpha=108.98 beta=90.00 gamma=90.00
Atoms (fractional coordinates):
Na: 0.500 0.000 0.500
Na: 0.000 0.500 0.500
Pm: 0.500 0.500 0.000
Sn: 0.000 0.000 0.000
S: 0.500 0.238 0.229
S: 0.500 0.762 0.771
S: 0.000 0.249 0.770
S: 0.000 0.751 0.230

## Properties
* N(E_F): 0.306 states/eV per atom

=====

Here is a relaxed structure of Na3Pm2SnS6 from the Alexandria database. Energies are from GGA-PBE.

Unit cell a=7.032 b=7.032 c=7.087 alpha=99.52 beta=99.52 gamma=119.99
Atoms (fractional coordinates):
Na: 0.163 0.837 0.500
Na: 0.837 0.163 0.500
Na: 0.500 0.500 0.500
Pm: 0.333 0.667 0.000
Pm: 0.667 0.333 0.000
Sn: 0.000 0.000 0.000
S: 0.923 0.597 0.769
S: 0.750 0.750 0.229
S: 0.077 0.403 0.231
S: 0.597 0.923 0.769
S: 0.250 0.250 0.771
S: 0.403 0.077 0.231

## Properties
* N(E_F): 0.406 states/eV per atom

=====

Here is a relaxed structure of Na3Pm3SnS8 from the Alexandria database. Energies are from GGA-PBE.

Unit cell a=8.080 b=8.081 c=8.211 alpha=119.51 beta=90.00 gamma=120.00
Atoms (fractional coordinates):
Na: 0.000 0.000 0.000
Na: 0.000 0.500 0.000
Na: 0.500 0.500 0.000
Pm: 0.500 0.000 0.500
Pm: 0.500 0.500 0.500
Pm: 0.000 0.500 0.500
Sn: 0.000 0.000 0.500
S: 0.257 0.513 0.270
S: 0.743 0.487 0.730
S: 0.771 0.543 0.278
S: 0.229 0.457 0.722
S: 0.772 0.007 0.278
S: 0.228 0.993 0.722
S: 0.235 0.007 0.278
S: 0.765 0.993 0.722

=====

Here is a relaxed structure of NaSr2PmS4 from the Alexandria database. Energies are from GGA-PBE.

Unit cell a=4.198 b=7.222 c=7.201 alpha=108.73 beta=90.00 gamma=90.00
Atoms (fractional coordinates):
Na: 0.500 0.500 0.000
Sr: 0.500 0.000 0.500
Sr: 0.000 0.500 0.500
Pm: 0.000 0.000 0.000
S: 0.500 0.238 0.234
S: 0.500 0.762 0.766
S: 0.000 0.240 0.757
S: 0.000 0.760 0.243

## Properties
* N(E_F): 0.000 states/eV per atom

=====

Here is a relaxed structure of NaSr3Pm2S6 from the Alexandria database. Energies are from GGA-PBE.

Unit cell a=7.206 b=7.206 c=7.221 alpha=99.56 beta=99.56 gamma=119.96
Atoms (fractional coordinates):
Na: 0.000 0.000 0.000
Sr: 0.164 0.836 0.500
Sr: 0.836 0.164 0.500
Sr: 0.500 0.500 0.500
Pm: 0.333 0.667 0.000
Pm: 0.667 0.333 0.000
S: 0.920 0.578 0.762
S: 0.737 0.737 0.236
S: 0.080 0.422 0.238
S: 0.578 0.920 0.762
S: 0.263 0.263 0.764
S: 0.422 0.080 0.238

## Properties
* N(E_F): 0.302 states/eV per atom

=====

Calculated raw formation energy in order - -1.96, -1.81, -1.97, -1.93, -1.81, -1.81, -1.96, -1.24, -1.42, -1.50, -1.94, -1.99 eV per atom